VASP calculation (PBE) on AcTbGe3 after structural relaxation.

Lattice parameters (Å, degrees): 4.4560 27.6414 4.0813 90.00 90.00 90.00
Closest atoms and distances in Å follow each position.
Space group Cmcm (No. 63)
Asymmetric unit:
Ac (0.0000, 0.0751, 0.2500)  10 Ge 3.30-3.60
Tb (0.0000, 0.2043, 0.7500)  7 Ge 2.95-3.05
Ge (0.0000, 0.3111, 0.7500)  2 Ge 2.63
Ge (0.0000, 0.3711, 0.2500)  3 Ge 2.63-2.81
Ge (0.0000, 0.4727, 0.2500)  3 Ge 2.54-2.81

Summary:
The uncorrected energy is -5.22 eV/atom. As for the density of states at the Fermi level: 0.562 states/eV per atom.

VASP calculation (PBE) on Ac2Tb2Ge3 after structural relaxation.

Lattice parameters (Å, degrees): 11.1742 4.6929 8.5987 90.00 99.26 90.00
Closest atoms and distances in Å follow each position.
Space group C2/m (No. 12)
Asymmetric unit:
Ac (0.1258, 0.0000, 0.3505)  4 Ge 3.11-3.30
Tb (0.1413, 0.5000, 0.9350)  5 Ge 2.93-3.09
Ge (0.0000, 0.0000, 0.0000)  4 Tb 2.93, 2 Ac 3.11
Ge (0.1971, 0.0000, 0.7378)  3 Tb 3.02-3.09, 3 Ac 3.24-3.30

Summary:
The uncorrected energy is -5.09 eV/atom. As for the density of states at the Fermi level: 0.676 states/eV per atom.

VASP calculation (PBE) on Ac5Tb2Ge5 after structural relaxation.

Lattice parameters (Å, degrees): 14.8030 4.4802 12.7978 90.00 107.97 90.00
Closest atoms and distances in Å follow each position.
Space group C2/m (No. 12)
Asymmetric unit:
Ac (0.0000, 0.0000, 0.0000)  4 Ge 3.19
Ac (0.1584, 0.0000, 0.5487)  5 Ge 3.16-3.45
Ac (0.2415, 0.0000, 0.8538)  5 Ge 3.12-3.41
Tb (0.0423, 0.5000, 0.2902)  4 Ge 2.87-2.98
Ge (0.0000, 0.5000, 0.5000)  2 Tb 2.94, 4 Ac 3.16
Ge (0.1117, 0.5000, 0.9116)  1 Tb 2.87, 5 Ac 3.12-3.19
Ge (0.1768, 0.0000, 0.2961)  2 Tb 2.98, 1 Ac 3.33

Summary:
The uncorrected energy is -5.04 eV/atom. As for the density of states at the Fermi level: 0.492 states/eV per atom.

no.,magnetic moment (μB/cell),formation energy from the elements (eV per atom)
1,0.00,-0.702
2,0.00,-0.610
3,0.00,-0.628